No. 1
Density functional theory data (GGA-PBE) for crystalline LiRe at its relaxed geometry.

SG: I-43m, No. 217
formation energy: 1.8426 eV/atom
density of states at the Fermi level: 2.05 states/eV/f.u.
total moment: 5.91 μB/cell

CIF file:
```
data_LiRe
_chemical_formula_sum 'Li4 Re4'
_symmetry_space_group_name_H-M 'P 1'
_symmetry_Int_Tables_number 1
_cell_length_a 7.487
_cell_length_b 7.487
_cell_length_c 7.487
_cell_angle_alpha 109.47
_cell_angle_beta 109.47
_cell_angle_gamma 109.47
loop_
_symmetry_equiv_pos_as_xyz
'x,y,z'
loop_
_atom_site_label
_atom_site_fract_x
_atom_site_fract_y
_atom_site_fract_z
Li1 0.000 0.000 0.593
Li2 0.000 0.593 0.000
Li3 0.407 0.407 0.407
Li4 0.593 0.000 0.000
Re1 0.000 0.000 0.199
Re2 0.000 0.199 0.000
Re3 0.199 0.000 0.000
Re4 0.801 0.801 0.801
```

***

No. 2
Density functional theory data (GGA-PBE) for crystalline LiRe at its relaxed geometry.

SG: P2_1/m, No. 11
formation energy: 0.2174 eV/atom
density of states at the Fermi level: 0.94 states/eV/f.u.
total moment: 0.00 μB/cell

CIF file:
```
data_LiRe
_chemical_formula_sum 'Li2 Re2'
_symmetry_space_group_name_H-M 'P 1'
_symmetry_Int_Tables_number 1
_cell_length_a 2.575
_cell_length_b 4.349
_cell_length_c 5.340
_cell_angle_alpha 90.00
_cell_angle_beta 97.05
_cell_angle_gamma 90.00
loop_
_symmetry_equiv_pos_as_xyz
'x,y,z'
loop_
_atom_site_label
_atom_site_fract_x
_atom_site_fract_y
_atom_site_fract_z
Li1 0.090 0.250 0.395
Li2 0.910 0.750 0.605
Re1 0.374 0.750 0.094
Re2 0.626 0.250 0.906
```

***

No. 3
Density functional theory data (GGA-PBE) for crystalline LiRe at its relaxed geometry.

SG: P-3m1, No. 164
formation energy: 0.1672 eV/atom
density of states at the Fermi level: 0.72 states/eV/f.u.
total moment: 0.00 μB/cell

CIF file:
```
data_LiRe
_chemical_formula_sum 'Li2 Re2'
_symmetry_space_group_name_H-M 'P 1'
_symmetry_Int_Tables_number 1
_cell_length_a 2.774
_cell_length_b 2.774
_cell_length_c 9.461
_cell_angle_alpha 90.00
_cell_angle_beta 90.00
_cell_angle_gamma 120.00
loop_
_symmetry_equiv_pos_as_xyz
'x,y,z'
loop_
_atom_site_label
_atom_site_fract_x
_atom_site_fract_y
_atom_site_fract_z
Li1 0.333 0.667 0.139
Li2 0.667 0.333 0.861
Re1 0.333 0.667 0.610
Re2 0.667 0.333 0.390
```

***

No. 4
Density functional theory data (GGA-PBE) for crystalline Li7Re6 at its relaxed geometry.

SG: R-3m, No. 166
formation energy: 0.3020 eV/atom
density of states at the Fermi level: 4.41 states/eV/f.u.
total moment: 0.00 μB/cell

CIF file:
```
data_Li7Re6
_chemical_formula_sum 'Li7 Re6'
_symmetry_space_group_name_H-M 'P 1'
_symmetry_Int_Tables_number 1
_cell_length_a 9.048
_cell_length_b 9.048
_cell_length_c 9.048
_cell_angle_alpha 29.62
_cell_angle_beta 29.62
_cell_angle_gamma 29.62
loop_
_symmetry_equiv_pos_as_xyz
'x,y,z'
loop_
_atom_site_label
_atom_site_fract_x
_atom_site_fract_y
_atom_site_fract_z
Li1 0.000 0.000 0.000
Li2 0.095 0.095 0.583
Li3 0.095 0.583 0.095
Li4 0.417 0.905 0.905
Li5 0.583 0.095 0.095
Li6 0.905 0.417 0.905
Li7 0.905 0.905 0.417
Re1 0.166 0.166 0.166
Re2 0.352 0.352 0.352
Re3 0.449 0.449 0.449
Re4 0.551 0.551 0.551
Re5 0.648 0.648 0.648
Re6 0.834 0.834 0.834
```

***

No. 5
Density functional theory data (GGA-PBE) for crystalline Li3Re at its relaxed geometry.

SG: Pmm2, No. 25
formation energy: 0.3630 eV/atom
density of states at the Fermi level: 1.86 states/eV/f.u.
total moment: 0.00 μB/cell

CIF file:
```
data_Li3Re
_chemical_formula_sum 'Li3 Re1'
_symmetry_space_group_name_H-M 'P 1'
_symmetry_Int_Tables_number 1
_cell_length_a 2.445
_cell_length_b 4.712
_cell_length_c 5.125
_cell_angle_alpha 90.00
_cell_angle_beta 90.00
_cell_angle_gamma 90.00
loop_
_symmetry_equiv_pos_as_xyz
'x,y,z'
loop_
_atom_site_label
_atom_site_fract_x
_atom_site_fract_y
_atom_site_fract_z
Li1 0.000 0.000 0.000
Li2 0.000 0.500 0.310
Li3 0.500 0.000 0.547
Re1 0.500 0.500 0.813
```

***

No. 6
Density functional theory data (GGA-PBE) for crystalline LiRe at its relaxed geometry.

SG: P4_2/mnm, No. 136
formation energy: 1.2605 eV/atom
density of states at the Fermi level: 1.13 states/eV/f.u.
total moment: 0.00 μB/cell

CIF file:
```
data_LiRe
_chemical_formula_sum 'Li4 Re4'
_symmetry_space_group_name_H-M 'P 1'
_symmetry_Int_Tables_number 1
_cell_length_a 4.769
_cell_length_b 4.769
_cell_length_c 4.760
_cell_angle_alpha 90.00
_cell_angle_beta 90.00
_cell_angle_gamma 90.00
loop_
_symmetry_equiv_pos_as_xyz
'x,y,z'
loop_
_atom_site_label
_atom_site_fract_x
_atom_site_fract_y
_atom_site_fract_z
Li1 0.171 0.171 0.000
Li2 0.329 0.671 0.500
Li3 0.671 0.329 0.500
Li4 0.829 0.829 0.000
Re1 0.174 0.174 0.500
Re2 0.326 0.674 0.000
Re3 0.674 0.326 0.000
Re4 0.826 0.826 0.500
```

***

No. 7
Density functional theory data (GGA-PBE) for crystalline LiRe at its relaxed geometry.

SG: R-3m, No. 166
formation energy: 0.2771 eV/atom
density of states at the Fermi level: 0.58 states/eV/f.u.
total moment: 0.00 μB/cell

CIF file:
```
data_LiRe
_chemical_formula_sum 'Li1 Re1'
_symmetry_space_group_name_H-M 'P 1'
_symmetry_Int_Tables_number 1
_cell_length_a 5.034
_cell_length_b 5.034
_cell_length_c 5.034
_cell_angle_alpha 30.44
_cell_angle_beta 30.44
_cell_angle_gamma 30.44
loop_
_symmetry_equiv_pos_as_xyz
'x,y,z'
loop_
_atom_site_label
_atom_site_fract_x
_atom_site_fract_y
_atom_site_fract_z
Li1 0.000 0.000 0.000
Re1 0.500 0.500 0.500
```

***

No. 8
Density functional theory data (GGA-PBE) for crystalline LiRe5 at its relaxed geometry.

SG: Amm2, No. 38
formation energy: 0.1774 eV/atom
density of states at the Fermi level: 5.27 states/eV/f.u.
total moment: 0.00 μB/cell

CIF file:
```
data_LiRe5
_chemical_formula_sum 'Li1 Re5'
_symmetry_space_group_name_H-M 'P 1'
_symmetry_Int_Tables_number 1
_cell_length_a 4.433
_cell_length_b 7.286
_cell_length_c 7.286
_cell_angle_alpha 21.86
_cell_angle_beta 90.00
_cell_angle_gamma 90.00
loop_
_symmetry_equiv_pos_as_xyz
'x,y,z'
loop_
_atom_site_label
_atom_site_fract_x
_atom_site_fract_y
_atom_site_fract_z
Li1 0.000 0.000 0.000
Re1 0.000 0.331 0.331
Re2 0.000 0.664 0.664
Re3 0.500 0.222 0.222
Re4 0.500 0.554 0.554
Re5 0.500 0.891 0.891
```

***

No. 9
Density functional theory data (GGA-PBE) for crystalline LiRe at its relaxed geometry.

SG: P4/nmm, No. 129
formation energy: 0.4264 eV/atom
density of states at the Fermi level: 1.65 states/eV/f.u.
total moment: 0.00 μB/cell

CIF file:
```
data_LiRe
_chemical_formula_sum 'Li2 Re2'
_symmetry_space_group_name_H-M 'P 1'
_symmetry_Int_Tables_number 1
_cell_length_a 2.602
_cell_length_b 2.602
_cell_length_c 9.118
_cell_angle_alpha 90.00
_cell_angle_beta 90.00
_cell_angle_gamma 90.00
loop_
_symmetry_equiv_pos_as_xyz
'x,y,z'
loop_
_atom_site_label
_atom_site_fract_x
_atom_site_fract_y
_atom_site_fract_z
Li1 0.250 0.250 0.141
Li2 0.750 0.750 0.859
Re1 0.250 0.250 0.622
Re2 0.750 0.750 0.378
```

***

No. 10
Density functional theory data (GGA-PBE) for crystalline LiRe at its relaxed geometry.

SG: P4/nmm, No. 129
formation energy: 0.2953 eV/atom
density of states at the Fermi level: 1.61 states/eV/f.u.
total moment: 0.00 μB/cell

CIF file:
```
data_LiRe
_chemical_formula_sum 'Li2 Re2'
_symmetry_space_group_name_H-M 'P 1'
_symmetry_Int_Tables_number 1
_cell_length_a 3.069
_cell_length_b 3.069
_cell_length_c 6.467
_cell_angle_alpha 90.00
_cell_angle_beta 90.00
_cell_angle_gamma 90.00
loop_
_symmetry_equiv_pos_as_xyz
'x,y,z'
loop_
_atom_site_label
_atom_site_fract_x
_atom_site_fract_y
_atom_site_fract_z
Li1 0.250 0.250 0.124
Li2 0.750 0.750 0.876
Re1 0.250 0.250 0.601
Re2 0.750 0.750 0.399
```

***

No. 11
Density functional theory data (GGA-PBE) for crystalline LiRe at its relaxed geometry.

SG: R-3m, No. 166
formation energy: 0.1440 eV/atom
density of states at the Fermi level: 0.20 states/eV/f.u.
total moment: 0.00 μB/cell

CIF file:
```
data_LiRe
_chemical_formula_sum 'Li2 Re2'
_symmetry_space_group_name_H-M 'P 1'
_symmetry_Int_Tables_number 1
_cell_length_a 9.596
_cell_length_b 9.596
_cell_length_c 9.596
_cell_angle_alpha 16.61
_cell_angle_beta 16.61
_cell_angle_gamma 16.61
loop_
_symmetry_equiv_pos_as_xyz
'x,y,z'
loop_
_atom_site_label
_atom_site_fract_x
_atom_site_fract_y
_atom_site_fract_z
Li1 0.120 0.120 0.120
Li2 0.880 0.880 0.880
Re1 0.370 0.370 0.370
Re2 0.630 0.630 0.630
```

***

No. 12
Density functional theory data (GGA-PBE) for crystalline LiRe5 at its relaxed geometry.

SG: P6/mmm, No. 191
formation energy: 0.4821 eV/atom
density of states at the Fermi level: 3.61 states/eV/f.u.
total moment: 0.00 μB/cell

CIF file:
```
data_LiRe5
_chemical_formula_sum 'Li1 Re5'
_symmetry_space_group_name_H-M 'P 1'
_symmetry_Int_Tables_number 1
_cell_length_a 5.098
_cell_length_b 5.098
_cell_length_c 4.551
_cell_angle_alpha 90.00
_cell_angle_beta 90.00
_cell_angle_gamma 120.00
loop_
_symmetry_equiv_pos_as_xyz
'x,y,z'
loop_
_atom_site_label
_atom_site_fract_x
_atom_site_fract_y
_atom_site_fract_z
Li1 0.000 0.000 0.000
Re1 0.000 0.500 0.500
Re2 0.333 0.667 0.000
Re3 0.500 0.000 0.500
Re4 0.500 0.500 0.500
Re5 0.667 0.333 0.000
```

***

No. 13
Density functional theory data (GGA-PBE) for crystalline LiRe at its relaxed geometry.

SG: Pm-3n, No. 223
formation energy: 3.1884 eV/atom
density of states at the Fermi level: 1.80 states/eV/f.u.
total moment: 22.51 μB/cell

CIF file:
```
data_LiRe
_chemical_formula_sum 'Li6 Re6'
_symmetry_space_group_name_H-M 'P 1'
_symmetry_Int_Tables_number 1
_cell_length_a 7.119
_cell_length_b 7.119
_cell_length_c 7.119
_cell_angle_alpha 90.00
_cell_angle_beta 90.00
_cell_angle_gamma 90.00
loop_
_symmetry_equiv_pos_as_xyz
'x,y,z'
loop_
_atom_site_label
_atom_site_fract_x
_atom_site_fract_y
_atom_site_fract_z
Li1 0.000 0.250 0.500
Li2 0.000 0.750 0.500
Li3 0.250 0.500 0.000
Li4 0.500 0.000 0.250
Li5 0.500 0.000 0.750
Li6 0.750 0.500 0.000
Re1 0.000 0.500 0.250
Re2 0.000 0.500 0.750
Re3 0.250 0.000 0.500
Re4 0.500 0.250 0.000
Re5 0.500 0.750 0.000
Re6 0.750 0.000 0.500
```

***

No. 14
Density functional theory data (GGA-PBE) for crystalline Li5Re4 at its relaxed geometry.

SG: I4/mmm, No. 139
formation energy: 0.4125 eV/atom
density of states at the Fermi level: 7.32 states/eV/f.u.
total moment: 0.00 μB/cell

CIF file:
```
data_Li5Re4
_chemical_formula_sum 'Li5 Re4'
_symmetry_space_group_name_H-M 'P 1'
_symmetry_Int_Tables_number 1
_cell_length_a 6.909
_cell_length_b 6.909
_cell_length_c 6.909
_cell_angle_alpha 92.59
_cell_angle_beta 92.59
_cell_angle_gamma 155.44
loop_
_symmetry_equiv_pos_as_xyz
'x,y,z'
loop_
_atom_site_label
_atom_site_fract_x
_atom_site_fract_y
_atom_site_fract_z
Li1 0.000 0.000 0.000
Li2 0.334 0.334 0.668
Li3 0.334 0.666 0.000
Li4 0.666 0.334 0.000
Li5 0.666 0.666 0.332
Re1 0.000 0.342 0.342
Re2 0.000 0.658 0.658
Re3 0.342 0.000 0.342
Re4 0.658 0.000 0.658
```

***

No. 15
Density functional theory data (GGA-PBE) for crystalline Li3Re at its relaxed geometry.

SG: P4/mmm, No. 123
formation energy: 0.2049 eV/atom
density of states at the Fermi level: 1.64 states/eV/f.u.
total moment: 0.00 μB/cell

CIF file:
```
data_Li3Re
_chemical_formula_sum 'Li3 Re1'
_symmetry_space_group_name_H-M 'P 1'
_symmetry_Int_Tables_number 1
_cell_length_a 2.564
_cell_length_b 2.564
_cell_length_c 9.525
_cell_angle_alpha 90.00
_cell_angle_beta 90.00
_cell_angle_gamma 90.00
loop_
_symmetry_equiv_pos_as_xyz
'x,y,z'
loop_
_atom_site_label
_atom_site_fract_x
_atom_site_fract_y
_atom_site_fract_z
Li1 0.000 0.000 0.000
Li2 0.500 0.500 0.271
Li3 0.500 0.500 0.729
Re1 0.000 0.000 0.500
```

***

No. 16
Density functional theory data (GGA-PBE) for crystalline Li3Re at its relaxed geometry.

SG: Cmmm, No. 65
formation energy: 0.3401 eV/atom
density of states at the Fermi level: 2.33 states/eV/f.u.
total moment: 0.00 μB/cell

CIF file:
```
data_Li3Re
_chemical_formula_sum 'Li3 Re1'
_symmetry_space_group_name_H-M 'P 1'
_symmetry_Int_Tables_number 1
_cell_length_a 5.163
_cell_length_b 5.163
_cell_length_c 2.429
_cell_angle_alpha 90.00
_cell_angle_beta 90.00
_cell_angle_gamma 115.66
loop_
_symmetry_equiv_pos_as_xyz
'x,y,z'
loop_
_atom_site_label
_atom_site_fract_x
_atom_site_fract_y
_atom_site_fract_z
Li1 0.000 0.000 0.000
Li2 0.000 0.500 0.500
Li3 0.500 0.000 0.500
Re1 0.500 0.500 0.000
```

***

No. 17
Density functional theory data (GGA-PBE) for crystalline Li3Re at its relaxed geometry.

SG: Immm, No. 71
formation energy: 0.3944 eV/atom
density of states at the Fermi level: 2.42 states/eV/f.u.
total moment: 0.00 μB/cell

CIF file:
```
data_Li3Re
_chemical_formula_sum 'Li3 Re1'
_symmetry_space_group_name_H-M 'P 1'
_symmetry_Int_Tables_number 1
_cell_length_a 5.498
_cell_length_b 5.498
_cell_length_c 5.498
_cell_angle_alpha 153.91
_cell_angle_beta 128.11
_cell_angle_gamma 58.99
loop_
_symmetry_equiv_pos_as_xyz
'x,y,z'
loop_
_atom_site_label
_atom_site_fract_x
_atom_site_fract_y
_atom_site_fract_z
Li1 0.000 0.000 0.000
Li2 0.241 0.741 0.500
Li3 0.759 0.259 0.500
Re1 0.500 0.500 0.000
```

***

No. 18
Density functional theory data (GGA-PBE) for crystalline LiRe at its relaxed geometry.

SG: P6_3/mmc, No. 194
formation energy: 0.6309 eV/atom
density of states at the Fermi level: 2.04 states/eV/f.u.
total moment: 0.00 μB/cell

CIF file:
```
data_LiRe
_chemical_formula_sum 'Li4 Re4'
_symmetry_space_group_name_H-M 'P 1'
_symmetry_Int_Tables_number 1
_cell_length_a 4.178
_cell_length_b 4.178
_cell_length_c 9.312
_cell_angle_alpha 90.00
_cell_angle_beta 90.00
_cell_angle_gamma 120.00
loop_
_symmetry_equiv_pos_as_xyz
'x,y,z'
loop_
_atom_site_label
_atom_site_fract_x
_atom_site_fract_y
_atom_site_fract_z
Li1 0.333 0.667 0.064
Li2 0.333 0.667 0.436
Li3 0.667 0.333 0.564
Li4 0.667 0.333 0.936
Re1 0.000 0.000 0.250
Re2 0.000 0.000 0.750
Re3 0.333 0.667 0.750
Re4 0.667 0.333 0.250
```

***

No. 19
Density functional theory data (GGA-PBE) for crystalline LiRe at its relaxed geometry.

SG: P6_3/mmc, No. 194
formation energy: 2.3812 eV/atom
density of states at the Fermi level: 2.64 states/eV/f.u.
total moment: 0.00 μB/cell

CIF file:
```
data_LiRe
_chemical_formula_sum 'Li2 Re2'
_symmetry_space_group_name_H-M 'P 1'
_symmetry_Int_Tables_number 1
_cell_length_a 3.986
_cell_length_b 3.986
_cell_length_c 4.558
_cell_angle_alpha 90.00
_cell_angle_beta 90.00
_cell_angle_gamma 120.00
loop_
_symmetry_equiv_pos_as_xyz
'x,y,z'
loop_
_atom_site_label
_atom_site_fract_x
_atom_site_fract_y
_atom_site_fract_z
Li1 0.333 0.667 0.250
Li2 0.667 0.333 0.750
Re1 0.333 0.667 0.750
Re2 0.667 0.333 0.250
```

***

No. 20
Density functional theory data (GGA-PBE) for crystalline LiRe at its relaxed geometry.

SG: P4/m, No. 83
formation energy: 0.3894 eV/atom
density of states at the Fermi level: 1.00 states/eV/f.u.
total moment: 0.00 μB/cell

CIF file:
```
data_LiRe
_chemical_formula_sum 'Li8 Re8'
_symmetry_space_group_name_H-M 'P 1'
_symmetry_Int_Tables_number 1
_cell_length_a 7.790
_cell_length_b 7.790
_cell_length_c 4.171
_cell_angle_alpha 90.00
_cell_angle_beta 90.00
_cell_angle_gamma 90.00
loop_
_symmetry_equiv_pos_as_xyz
'x,y,z'
loop_
_atom_site_label
_atom_site_fract_x
_atom_site_fract_y
_atom_site_fract_z
Li1 0.026 0.327 0.000
Li2 0.140 0.188 0.500
Li3 0.188 0.860 0.500
Li4 0.327 0.974 0.000
Li5 0.673 0.026 0.000
Li6 0.812 0.140 0.500
Li7 0.860 0.812 0.500
Li8 0.974 0.673 0.000
Re1 0.161 0.528 0.500
Re2 0.308 0.625 0.000
Re3 0.375 0.308 0.000
Re4 0.472 0.161 0.500
Re5 0.528 0.839 0.500
Re6 0.625 0.692 0.000
Re7 0.692 0.375 0.000
Re8 0.839 0.472 0.500
```